No. 1
# CsW2F

Crystalline CsW2F at its relaxed geometry (PBE with a Hubbard U, Alexandria via LeMat-Bulk).

abc: 5.562 5.562 5.562
angles: 60.00 60.00 60.00
Fractional coordinates of all 4 atoms:
Cs 0.000 0.000 0.000
W 0.250 0.250 0.250
W 0.750 0.750 0.750
F 0.500 0.500 0.500

Total energy   -2.670 eV per atom
Space-group type   No. 225
M_tot   11.06 μB per formula unit

***

No. 2
# Cs3WF

Crystalline Cs3WF at its relaxed geometry (PBE with a Hubbard U, Alexandria via LeMat-Bulk).

abc: 6.313 6.313 6.313
angles: 90.00 90.00 90.00
Fractional coordinates of all 5 atoms:
Cs 0.000 0.000 0.500
Cs 0.000 0.500 0.000
Cs 0.500 0.000 0.000
W 0.000 0.000 0.000
F 0.500 0.500 0.500

Total energy   -1.878 eV per atom
Space-group type   No. 221
M_tot   5.38 μB per formula unit

***

No. 3
# Cs2YWF6

Crystalline Cs2YWF6 at its relaxed geometry (PBE with a Hubbard U, Alexandria via LeMat-Bulk).

abc: 6.798 6.798 6.798
angles: 114.18 114.18 100.41
Fractional coordinates of all 10 atoms:
Cs 0.250 0.750 0.500
Cs 0.750 0.250 0.500
Y 0.000 0.000 0.000
W 0.500 0.500 0.000
F 0.208 0.208 0.415
F 0.208 0.792 0.000
F 0.258 0.258 0.000
F 0.742 0.742 0.000
F 0.792 0.208 0.000
F 0.792 0.792 0.585

Total energy   -5.335 eV per atom
Space-group type   No. 139
M_tot   3.00 μB per formula unit

***

No. 4
# Cs2ZnWF6

Crystalline Cs2ZnWF6 at its relaxed geometry (PBE with a Hubbard U, Alexandria via LeMat-Bulk).

abc: 6.481 6.481 6.481
angles: 119.73 119.73 90.46
Fractional coordinates of all 10 atoms:
Cs 0.250 0.750 0.500
Cs 0.750 0.250 0.500
Zn 0.000 0.000 0.000
W 0.500 0.500 0.000
F 0.266 0.266 0.000
F 0.268 0.268 0.536
F 0.268 0.732 0.000
F 0.732 0.268 0.000
F 0.732 0.732 0.464
F 0.734 0.734 0.000

Total energy   -4.528 eV per atom
Space-group type   No. 139
M_tot   4.00 μB per formula unit

***

No. 5
# Cs2ZrWF6

Crystalline Cs2ZrWF6 at its relaxed geometry (PBE with a Hubbard U, Alexandria via LeMat-Bulk).

abc: 6.970 6.970 6.970
angles: 112.79 112.79 103.02
Fractional coordinates of all 10 atoms:
Cs 0.250 0.750 0.500
Cs 0.750 0.250 0.500
Zr 0.000 0.000 0.000
W 0.500 0.500 0.000
F 0.186 0.186 0.372
F 0.186 0.814 0.000
F 0.240 0.240 0.000
F 0.760 0.760 0.000
F 0.814 0.186 0.000
F 0.814 0.814 0.628

Total energy   -5.405 eV per atom
Space-group type   No. 139
M_tot   4.00 μB per formula unit